! PBE-GGA Tl5BrF4, optimized geometry; values from VASP
&SYSTEM
  ibrav = 0, nat = 10, ntyp = 3
/
ATOMIC_SPECIES
Tl 204.38 Tl.upf
Br 79.90 Br.upf
F 19.00 F.upf
ATOMIC_POSITIONS angstrom
Tl 0.000 0.000 0.000
Tl -1.417 0.000 7.878
Tl 1.901 0.000 6.168
Tl 6.705 0.000 3.523
Tl 10.024 0.000 1.814
Br -2.404 0.000 4.846
F 1.463 0.000 2.336
F 5.271 0.000 1.460
F 3.335 0.000 8.232
F 7.144 0.000 7.355
CELL_PARAMETERS angstrom
6.707 -2.009 0.000
6.707 2.009 0.000
-4.807 0.000 9.692
! - Symmetry: C2/m, No. 12
! - DOS(E_F): 0.00 states/eV per cell
! - E_form (uncorrected): -1.5353 eV per atom
! - Total magnetization: 0.000 μB/atom
! - Final energy: -3.634 eV/atom

=====

! PBE-GGA Tl4Br3F, optimized geometry; values from VASP
&SYSTEM
  ibrav = 0, nat = 16, ntyp = 3
/
ATOMIC_SPECIES
Tl 204.38 Tl.upf
Br 79.90 Br.upf
F 19.00 F.upf
ATOMIC_POSITIONS angstrom
Tl 0.000 1.250 0.000
Tl 0.000 5.022 2.930
Tl 2.933 5.042 0.005
Tl 3.582 1.686 3.372
Tl 6.516 1.706 6.297
Tl 6.516 5.478 3.367
Tl 9.449 1.686 3.372
Tl 10.098 5.042 0.005
Br 0.000 1.580 3.330
Br 3.261 1.676 0.029
Br 3.254 5.052 3.396
Br 6.516 5.148 6.697
Br 9.770 1.676 0.029
Br 9.777 5.052 3.396
F 0.000 5.480 0.431
F 6.516 1.249 3.798
CELL_PARAMETERS angstrom
13.031 0.000 0.000
0.000 6.728 0.000
0.000 0.000 6.734
! - Symmetry: Pmn2_1, No. 31
! - DOS(E_F): 0.00 states/eV per cell
! - E_form (uncorrected): -1.0545 eV per atom
! - Total magnetization: 0.000 μB/atom
! - Final energy: -3.099 eV/atom

=====

! PBE-GGA TlBrF3, optimized geometry; values from VASP
&SYSTEM
  ibrav = 0, nat = 10, ntyp = 3
/
ATOMIC_SPECIES
Tl 204.38 Tl.upf
Br 79.90 Br.upf
F 19.00 F.upf
ATOMIC_POSITIONS angstrom
Tl 5.228 1.493 3.183
Tl 5.464 -1.493 0.000
Br 2.188 1.221 6.207
Br 2.423 -1.221 3.024
F 3.099 1.035 3.093
F 2.864 -1.035 6.275
F 5.377 0.284 5.056
F 5.613 -0.284 1.874
F 10.194 0.208 4.534
F 10.429 -0.208 1.351
CELL_PARAMETERS angstrom
5.464 -2.975 0.000
5.464 2.975 0.000
-0.471 0.000 6.366
! - Symmetry: Cc, No. 9
! - DOS(E_F): 0.06 states/eV per cell
! - E_form (uncorrected): -1.1919 eV per atom
! - Total magnetization: 0.207 μB/atom
! - Offset from the most stable computed form: 0 meV/atom
! - Final energy: -3.123 eV/atom

=====

! PBE-GGA UTl2Br4F2, optimized geometry; values from VASP
&SYSTEM
  ibrav = 0, nat = 9, ntyp = 4
/
ATOMIC_SPECIES
U 238.03 U.upf
Tl 204.38 Tl.upf
Br 79.90 Br.upf
F 19.00 F.upf
ATOMIC_POSITIONS angstrom
U 0.000 0.000 0.000
Tl 3.895 0.000 4.243
Tl 8.326 0.000 1.533
Br 4.719 1.961 1.265
Br 7.501 1.961 4.512
Br 4.719 -1.961 1.265
Br 7.501 -1.961 4.512
F 1.404 0.000 1.502
F 10.817 0.000 4.275
CELL_PARAMETERS angstrom
6.262 -4.021 0.000
6.262 4.021 0.000
-0.303 0.000 5.777
! - Symmetry: C2/m, No. 12
! - DOS(E_F): 0.60 states/eV per cell
! - E_form (uncorrected): -1.7392 eV per atom
! - Total magnetization: 0.222 μB/atom
! - Final energy: -4.679 eV/atom

=====

! PBE-GGA UTl2Br5F, optimized geometry; values from VASP
&SYSTEM
  ibrav = 0, nat = 9, ntyp = 4
/
ATOMIC_SPECIES
U 238.03 U.upf
Tl 204.38 Tl.upf
Br 79.90 Br.upf
F 19.00 F.upf
ATOMIC_POSITIONS angstrom
U 0.000 0.000 0.000
Tl 3.988 0.000 1.920
Tl 0.000 3.988 1.920
Br 0.000 0.000 2.756
Br 2.000 2.000 0.089
Br 1.988 -1.988 5.639
Br -1.988 1.988 5.639
Br 1.988 1.988 5.639
F 0.000 0.000 9.051
CELL_PARAMETERS angstrom
-3.988 3.988 5.551
3.988 -3.988 5.551
3.988 3.988 -5.551
! - Symmetry: I4mm, No. 107
! - DOS(E_F): 5.44 states/eV per cell
! - E_form (uncorrected): -1.4160 eV per atom
! - Total magnetization: 0.222 μB/atom
! - Final energy: -4.333 eV/atom

=====

! PBE-GGA UTl2Br2F4, optimized geometry; values from VASP
&SYSTEM
  ibrav = 0, nat = 9, ntyp = 4
/
ATOMIC_SPECIES
U 238.03 U.upf
Tl 204.38 Tl.upf
Br 79.90 Br.upf
F 19.00 F.upf
ATOMIC_POSITIONS angstrom
U 0.000 0.000 0.000
Tl 3.433 0.000 2.649
Tl 0.000 3.433 2.649
Br 0.000 0.000 2.908
Br 0.000 0.000 7.688
F 1.497 1.497 0.000
F 1.935 -1.935 5.298
F -1.935 1.935 5.298
F 1.935 1.935 5.298
CELL_PARAMETERS angstrom
-3.433 3.433 5.298
3.433 -3.433 5.298
3.433 3.433 -5.298
! - Symmetry: I4/mmm, No. 139
! - DOS(E_F): 6.91 states/eV per cell
! - E_form (uncorrected): -2.2511 eV per atom
! - Total magnetization: 0.222 μB/atom
! - Final energy: -5.235 eV/atom